Version 1
A relaxed structure of LiV2O4. Source: Alexandria, functional PBE with a Hubbard U.

Values from the calculation:
The calculation puts the calculated volume at 164.96 Å³/cell. The total moment is 3.0 μB per formula unit.

Cell lengths 5.1089, 6.0938, 5.2988 Å; angles 90.00, 90.47, 90.00 degrees
With the nearest neighbours (Å) after each atom.
Space group P2_1/m (No. 11)
One atom of each set of equivalent atoms:
Li 0.1623 0.2500 0.0644  4 O 1.92-2.09
V 0.0000 0.0000 0.5000  6 O 1.91-2.03
V 0.4944 0.7500 0.4830  6 O 2.03-2.07
O 0.1563 0.7500 0.6914  3 V 1.99-2.06, 1 Li 2.09
O 0.1592 0.2500 0.7023  1 Li 1.92, 3 V 2.03
O 0.3139 0.0116 0.3081  3 V 1.91-2.07, 1 Li 2.09

Version 2
A relaxed structure of LiV2O4. Source: Alexandria, functional PBE with a Hubbard U.

Values from the calculation:
The calculation puts the calculated volume at 303.51 Å³/cell. The total moment is 3.0 μB per formula unit.

Cell lengths 6.0420, 6.1127, 8.2180 Å; angles 90.00, 90.00, 90.00 degrees
With the nearest neighbours (Å) after each atom.
Space group Imma (No. 74)
One atom of each set of equivalent atoms:
Li 0.0000 0.2500 0.1220  4 O 2.01-2.04
V 0.0000 0.0000 0.5000  6 O 2.02-2.06
V 0.2500 0.2500 0.7500  6 O 1.91-2.01
O 0.0000 0.0320 0.7447  3 V 2.01-2.02, 1 Li 2.04
O 0.2278 0.2500 0.5177  3 V 1.91-2.06, 1 Li 2.01

Calculated relative energies: version 1 55; version 2 0, given in meV per atom

Version 1
A relaxed structure of LiV2O4. Source: Alexandria, functional PBE with a Hubbard U.

Values from the calculation:
The calculation puts the calculated volume at 76.48 Å³/cell. The total moment is 3.0 μB per formula unit.

Cell lengths 3.0346, 5.0130, 5.7446 Å; angles 65.73, 75.21, 89.97 degrees
With the nearest neighbours (Å) after each atom.
Space group P-1 (No. 2)
One atom of each set of equivalent atoms:
Li 0.0000 0.0000 0.0000  4 O 2.05-2.29
V 0.2735 0.2728 0.4520  6 O 1.89-2.10
O 0.1456 0.8405 0.7152  3 V 1.98-2.04, 1 Li 2.05
O 0.3456 0.6892 0.3018  3 V 1.89-2.10

Version 2
A relaxed structure of LiV2O4. Source: Alexandria, functional PBE with a Hubbard U.

Values from the calculation:
The calculation puts the calculated volume at 94.19 Å³/cell. The total moment is 3.0 μB per formula unit.

Cell lengths 4.5791, 4.5791, 4.4922 Å; angles 90.00, 90.00, 90.00 degrees
With the nearest neighbours (Å) after each atom.
Space group P-42m (No. 111)
One atom of each set of equivalent atoms:
Li 0.0000 0.0000 0.0000  4 O 2.00
V 0.0000 0.5000 0.5000  4 O 1.88
O 0.2345 0.2345 0.2882  2 V 1.88, 1 Li 2.00

Calculated relative energies: version 1 0; version 2 151, given in meV per atom

Version 1
A relaxed structure of Li7V5O12. Source: Alexandria, functional PBE with a Hubbard U.

Values from the calculation:
The calculation puts the calculated volume at 445.03 Å³/cell. The total moment is 8.0 μB per formula unit.

Cell lengths 5.0871, 8.9864, 9.9118 Å; angles 90.00, 100.84, 90.00 degrees
With the nearest neighbours (Å) after each atom.
Space group C2/m (No. 12)
One atom of each set of equivalent atoms:
Li 0.0000 0.0000 0.0000  6 O 2.09-2.17
Li 0.2424 0.1627 0.2464  6 O 2.09-2.21
Li 0.2498 0.0000 0.7520  6 O 2.05-2.20
V 0.0000 0.1669 0.5000  6 O 2.04-2.07
V 0.0000 0.3373 0.0000  6 O 1.90-2.06
V 0.0000 0.5000 0.5000  6 O 2.05-2.06
O 0.1083 0.5000 0.8878  2 V 1.98, 4 Li 2.05-2.21
O 0.1228 0.0000 0.3815  3 V 2.05-2.07, 3 Li 2.10-2.15
O 0.1244 0.3337 0.3842  3 V 2.04-2.06, 3 Li 2.16-2.21
O 0.1538 0.1774 0.8879  2 V 1.90-2.06, 1 Li 2.09

Version 2
A relaxed structure of Li7V5O12. Source: Alexandria, functional PBE with a Hubbard U.

Values from the calculation:
The calculation puts the calculated volume at 436.63 Å³/cell. The total moment is 8.0 μB per formula unit.

Cell lengths 5.2474, 8.7017, 9.6523 Å; angles 90.00, 97.83, 90.00 degrees
With the nearest neighbours (Å) after each atom.
Space group C2 (No. 5)
One atom of each set of equivalent atoms:
Li 0.0000 0.0000 0.0000  6 O 2.12-2.15
Li 0.0000 0.1638 0.5000  4 O 2.06
Li 0.0000 0.6801 0.0000  4 O 2.02-2.09
Li 0.2310 0.8295 0.2428  5 O 1.99-2.20
Li 0.2443 0.0092 0.7546  6 O 2.04-2.26
V 0.0000 0.3450 0.0000  6 O 2.02-2.10
V 0.0000 0.4932 0.5000  6 O 2.04-2.07
V 0.0000 0.8350 0.5000  6 O 2.03-2.07
V 0.2451 0.1620 0.2387  4 O 1.85-2.06
O 0.0920 0.1788 0.8665  2 V 1.92-2.04, 3 Li 1.99-2.12
O 0.0936 0.6638 0.3712  3 V 2.04-2.08, 2 Li 2.07-2.09
O 0.1325 0.5131 0.8716  1 V 1.85
O 0.1453 0.0006 0.3780  3 Li 2.06-2.26, 3 V 2.06-2.07
O 0.1517 0.3272 0.3804  3 V 2.03-2.09, 2 Li 2.06-2.17
O 0.1562 0.8313 0.8777  2 V 1.96-2.02, 4 Li 2.02-2.20

Calculated relative energies: version 1 0; version 2 16, given in meV per atom

Version 1
A relaxed structure of LiV3O6. Source: Alexandria, functional PBE with a Hubbard U.

Values from the calculation:
The calculation puts the calculated volume at 232.28 Å³/cell. The total moment is 4.0 μB per formula unit.

Cell lengths 5.2206, 8.7671, 5.4452 Å; angles 90.00, 111.25, 90.00 degrees
With the nearest neighbours (Å) after each atom.
Space group C2/m (No. 12)
One atom of each set of equivalent atoms:
Li 0.0000 0.0000 0.0000  6 O 2.21-2.36
V 0.0000 0.1612 0.5000  6 O 1.97-2.05
V 0.0000 0.5000 0.5000  6 O 1.93-2.05
O 0.2422 0.3397 0.6970  3 V 1.93-2.05
O 0.2451 0.0000 0.7108  3 V 1.97-2.05

Version 2
A relaxed structure of LiV3O6. Source: Alexandria, functional PBE with a Hubbard U.

Values from the calculation:
The calculation puts the calculated volume at 111.51 Å³/cell. The total moment is 4.0 μB per formula unit.

Cell lengths 5.0077, 5.1168, 5.3128 Å; angles 104.15, 107.11, 111.20 degrees
With the nearest neighbours (Å) after each atom.
Space group P1 (No. 1)
One atom of each set of equivalent atoms:
Li 0.0000 0.0000 0.0000  4 O 1.92-2.15
V 0.1821 0.8048 0.5146  6 O 1.95-2.12
V 0.3760 0.6270 0.0324  3 O 1.79-2.00
V 0.5295 0.4265 0.5344  5 O 1.86-2.01
O 0.1755 0.4230 0.2502  1 Li 1.94, 3 V 1.95-2.09
O 0.3135 0.2498 0.7379  3 V 1.90-2.04
O 0.3730 0.9950 0.2878  3 V 1.97-2.04, 1 Li 2.05
O 0.5487 0.8041 0.7848  1 Li 1.92, 3 V 1.97-2.01
O 0.7405 0.6828 0.2842  2 V 1.79-1.95
O 0.9624 0.5819 0.7404  2 V 1.86-2.08

Calculated relative energies: version 1 73; version 2 0, given in meV per atom

Version 1
A relaxed structure of LiV3O6. Source: Alexandria, functional PBE with a Hubbard U.

Values from the calculation:
The calculation puts the calculated volume at 103.38 Å³/cell. The total moment is 4.0 μB per formula unit.

Cell lengths 4.9723, 5.1100, 5.4681 Å; angles 62.43, 89.61, 61.00 degrees
With the nearest neighbours (Å) after each atom.
Space group P1 (No. 1)
One atom of each set of equivalent atoms:
Li 0.0000 0.0000 0.0000  3 O 2.03-2.06
V 0.2136 0.5567 0.6419  5 O 1.84-2.02
V 0.5129 0.9713 0.5497  5 O 1.82-2.00
V 0.7078 0.5660 0.1513  6 O 2.00-2.11
O 0.1201 0.4247 0.3729  3 V 1.92-2.02
O 0.3375 0.7379 0.8414  3 V 1.98-2.03, 1 Li 2.06
O 0.4226 0.7482 0.3694  3 V 1.97-2.01
O 0.5806 0.0801 0.8429  3 V 1.93-2.11, 1 Li 2.03
O 0.7914 0.0663 0.3679  1 V 1.82
O 0.9356 0.4833 0.8449  1 V 1.84, 1 Li 2.05

Version 2
A relaxed structure of LiV3O6. Source: Alexandria, functional PBE with a Hubbard U.

Values from the calculation:
The calculation puts the calculated volume at 148.53 Å³/cell. The total moment is 2.0 μB per formula unit.

Cell lengths 5.2417, 5.3403, 5.6208 Å; angles 90.06, 90.22, 109.26 degrees
With the nearest neighbours (Å) after each atom.
Space group P1 (No. 1)
One atom of each set of equivalent atoms:
Li 0.0000 0.0000 0.0000  4 O 2.01-2.02
V 0.2398 0.0515 0.5002  4 O 1.83-2.00
V 0.7532 0.9605 0.4996  6 O 1.93-2.11
V 0.9917 0.5059 0.5004  6 O 1.91-2.06
O 0.0495 0.2352 0.2904  3 V 1.97-2.11, 1 Li 2.02
O 0.0512 0.2352 0.7099  3 V 1.97-2.11, 1 Li 2.02
O 0.3737 0.7537 0.5010  3 V 1.93-2.00
O 0.5951 0.2618 0.4994  2 V 1.83-2.04
O 0.9404 0.7631 0.7135  2 V 1.91-2.05, 1 Li 2.01
O 0.9406 0.7636 0.2864  2 V 1.91-2.05, 1 Li 2.01

Calculated relative energies: version 1 0; version 2 277, given in meV per atom

Version 1
A relaxed structure of LiV4O10. Source: Alexandria, functional PBE with a Hubbard U.

Values from the calculation:
The calculation puts the calculated volume at 258.29 Å³/cell. The total moment is 1.0 μB per formula unit.

Cell lengths 5.8731, 6.7575, 7.6027 Å; angles 97.59, 112.61, 105.82 degrees
With the nearest neighbours (Å) after each atom.
Space group P1 (No. 1)
One atom of each set of equivalent atoms:
Li 0.0000 0.0000 0.0000  4 O 1.96-2.12
V 0.2770 0.3195 0.4463  3 O 1.62-1.80
V 0.4915 0.8817 0.5166  3 O 1.63-1.82
V 0.6350 0.1580 0.2423  1 O 1.64
V 0.8526 0.7289 0.3002  3 O 1.65-1.80
O 0.1702 0.8481 0.5102  2 V 1.80-1.82
O 0.2008 0.3069 0.6286  1 V 1.62
O 0.3708 0.0649 0.0290  1 V 1.64
O 0.4269 0.5970 0.4651  2 V 1.80-1.81
O 0.4847 0.1578 0.4386  3 V 1.86-2.04
O 0.6574 0.8916 0.3360  3 V 1.86-2.04
O 0.7167 0.9769 0.7448  1 V 1.63
O 0.7275 0.4671 0.2970  1 V 1.71
O 0.8915 0.7466 0.0987  1 V 1.65
O 0.9770 0.1987 0.2285  1 V 1.77

Version 2
A relaxed structure of LiV4O10. Source: Alexandria, functional PBE with a Hubbard U.

Values from the calculation:
The calculation puts the calculated volume at 264.52 Å³/cell. The total moment is 1.0 μB per formula unit.

Cell lengths 6.3380, 6.5859, 6.6366 Å; angles 76.77, 79.05, 85.24 degrees
With the nearest neighbours (Å) after each atom.
Space group P-1 (No. 2)
One atom of each set of equivalent atoms:
Li 0.0000 0.0000 0.0000  4 O 2.04-2.07
V 0.4161 0.6906 0.8437  1 O 1.63
V 0.4306 0.2094 0.7120  3 O 1.64-1.76
O 0.1591 0.7386 0.9105  1 V 1.63
O 0.1696 0.1886 0.7429  1 V 1.64
O 0.4594 0.7009 0.5545  2 V 1.76-1.87
O 0.4612 0.0452 0.2069  2 V 1.76-1.90
O 0.4785 0.3829 0.8842  3 V 1.87-2.00

Calculated relative energies: version 1 0; version 2 25, given in meV per atom

Version 1
A relaxed structure of LiV4O8. Source: Alexandria, functional PBE with a Hubbard U.

Values from the calculation:
The calculation puts the calculated volume at 336.52 Å³/cell. The total moment is 5.0 μB per formula unit.

Cell lengths 5.8033, 9.3014, 6.2422 Å; angles 90.00, 92.90, 90.00 degrees
With the nearest neighbours (Å) after each atom.
Space group C2 (No. 5)
One atom of each set of equivalent atoms:
Li 0.0000 0.0000 0.0000  4 O 1.89-1.93
V 0.0000 0.5516 0.5000  4 O 1.80-1.89
V 0.0000 0.7410 0.0000  4 O 1.67-1.84
V 0.0056 0.2242 0.7326  4 O 1.89-2.11
O 0.0083 0.8530 0.2091  1 V 1.67
O 0.0122 0.4263 0.2819  2 V 1.80-1.89
O 0.2089 0.1617 0.9910  2 V 1.84-2.03, 1 Li 1.93
O 0.2220 0.1569 0.4906  3 V 1.89-2.11

Version 2
A relaxed structure of LiV4O8. Source: Alexandria, functional PBE with a Hubbard U.

Values from the calculation:
The calculation puts the calculated volume at 310.49 Å³/cell. The total moment is 5.0 μB per formula unit.

Cell lengths 6.3262, 5.7120, 8.5925 Å; angles 90.00, 90.00, 90.00 degrees
With the nearest neighbours (Å) after each atom.
Space group Amm2 (No. 38)
One atom of each set of equivalent atoms:
Li 0.0000 0.0000 0.0000  4 O 1.94-2.16
V 0.0000 0.0000 0.3186  4 O 1.69-1.82
V 0.2567 0.0000 0.6725  6 O 1.95-2.16
V 0.5000 0.0000 0.0254  4 O 1.79-1.84
O 0.0000 0.2493 0.6884  1 V 1.82
O 0.2130 0.0000 0.4376  1 V 1.69
O 0.2744 0.0000 0.8989  2 V 1.79-1.95, 1 Li 1.94
O 0.5000 0.2345 0.6468  3 V 1.84-2.05

Version 3
A relaxed structure of LiV4O8. Source: Alexandria, functional PBE with a Hubbard U.

Values from the calculation:
The calculation puts the calculated volume at 317.68 Å³/cell. The total moment is 5.0 μB per formula unit.

Cell lengths 8.8728, 5.6284, 6.3801 Å; angles 90.00, 94.40, 90.00 degrees
With the nearest neighbours (Å) after each atom.
Space group C2/m (No. 12)
One atom of each set of equivalent atoms:
Li 0.0000 0.0000 0.0000  4 O 2.19, 2 V 2.42
V 0.0000 0.5000 0.0000  6 O 2.04-2.19
V 0.0000 0.5000 0.5000  6 O 1.99-2.11
V 0.1605 0.0000 0.7103  4 O 1.69-1.83
O 0.0325 0.2498 0.7452  1 V 1.83
O 0.2239 0.5000 0.4927  1 V 1.71
O 0.2288 0.5000 0.0620  1 V 1.69

Calculated relative energies: version 1 190; version 2 0; version 3 133, given in meV per atom

Version 1
A relaxed structure of LiVZnO4. Source: Alexandria, functional PBE with a Hubbard U.

Values from the calculation:
The calculation puts the calculated volume at 1729.64 Å³/cell. The total moment is 0.0 μB per formula unit.

Cell lengths 14.4237, 14.4237, 9.6000 Å; angles 90.00, 90.00, 120.00 degrees
With the nearest neighbours (Å) after each atom.
Space group R3 (No. 146, hexagonal axes)
One atom of each set of equivalent atoms:
Li 0.0201 0.2113 0.0000  4 O 1.98-2.02
Li 0.1409 0.6830 0.1656  4 O 1.98-2.01
V 0.0143 0.2103 0.3327  4 O 1.75
V 0.1379 0.6817 0.4991  4 O 1.74-1.75
Zn 0.0172 0.2122 0.6670  4 O 1.96-1.99
Zn 0.1382 0.6847 0.8325  4 O 1.97-1.98
O 0.0006 0.3241 0.3324  1 V 1.75
O 0.0111 0.6696 0.4995  1 V 1.75
O 0.0785 0.2069 0.4858  1 V 1.75
O 0.0845 0.2096 0.1850  1 V 1.75
O 0.0992 0.2133 0.8300  1 V 1.75, 1 Zn 1.96
O 0.2071 0.1265 0.9846  1 V 1.75
O 0.2071 0.7488 0.3495  1 V 1.74
O 0.2132 0.1144 0.3307  1 V 1.75

Version 2
A relaxed structure of LiVZnO4. Source: Alexandria, functional PBE with a Hubbard U.

Values from the calculation:
The calculation puts the calculated volume at 296.36 Å³/cell. The total moment is 0.0 μB per formula unit.

Cell lengths 5.8885, 6.0322, 8.3431 Å; angles 90.00, 90.00, 90.00 degrees
With the nearest neighbours (Å) after each atom.
Space group Imma (No. 74)
One atom of each set of equivalent atoms:
Li 0.2500 0.2500 0.2500  6 O 2.09-2.18
V 0.0000 0.2500 0.6232  4 O 1.73-1.79
Zn 0.0000 0.0000 0.0000  6 O 2.11-2.14
O 0.0000 0.0160 0.7434  1 V 1.73
O 0.2494 0.2500 0.5005  1 V 1.79

Calculated relative energies: version 1 0; version 2 54, given in meV per atom

Version 1
A relaxed structure of LiWO2. Source: Alexandria, functional PBE with a Hubbard U.

Values from the calculation:
The calculation puts the calculated volume at 135.45 Å³/cell. The total moment is 3.0 μB per formula unit.

Cell lengths 3.2623, 3.2623, 14.6954 Å; angles 90.00, 90.00, 120.00 degrees
With the nearest neighbours (Å) after each atom.
Space group R-3m (No. 166, hexagonal axes)
One atom of each set of equivalent atoms:
Li 0.0000 0.0000 0.0000  6 O 2.30
W 0.0000 0.0000 0.5000  6 O 2.20
O 0.0000 0.0000 0.2441  3 W 2.20, 3 Li 2.30

Version 2
A relaxed structure of LiWO2. Source: Alexandria, functional PBE with a Hubbard U.

Values from the calculation:
The calculation puts the calculated volume at 39.87 Å³/cell. The total moment is 0.2 μB per formula unit.

Cell lengths 2.7132, 2.7132, 5.4162 Å; angles 90.00, 90.00, 90.00 degrees
With the nearest neighbours (Å) after each atom.
Space group P4/mmm (No. 123)
One atom of each set of equivalent atoms:
Li 0.0000 0.0000 0.0000  8 O 2.42
W 0.0000 0.0000 0.5000  8 O 2.28
O 0.5000 0.5000 0.2710  4 W 2.28, 4 Li 2.42, 1 O 2.48

Calculated relative energies: version 1 0; version 2 508, given in meV per atom